Record 1
Density functional theory data (GGA-PBEsol) for an optimized crystal structure of ZrReMo.

Results
Electronic total energy: -10.78 eV per atom
ρ: 10.7 g cm⁻³
Spin magnetization: 0.000 μB/atom
Fermi-level density of states: 0.84 states/eV per atom

Unit cell a=6.134 b=6.134 c=6.134 alpha=90.00 beta=90.00 gamma=90.00
Space group F-43m (No. 216)
Asymmetric unit:
Zr 0.000 0.000 0.000 [4 per cell]
Re 0.000 0.000 0.500 [4 per cell]
Mo 0.250 0.250 0.250 [4 per cell]

Record 2
Density functional theory data (GGA-PBEsol) for an optimized crystal structure of P3W.

Results
Electronic total energy: -8.02 eV per atom
ρ: 7.8 g cm⁻³
Spin magnetization: 0.000 μB/atom
Fermi-level density of states: 0.41 states/eV per atom

Unit cell a=3.245 b=7.484 c=4.860 alpha=90.00 beta=90.00 gamma=90.00
Space group Imm2 (No. 44)
Asymmetric unit:
P 0.000 0.000 0.000 [2 per cell]
P 0.000 0.188 0.663 [4 per cell]
W 0.000 0.500 0.868 [2 per cell]

Record 3
Density functional theory data (GGA-PBEsol) for an optimized crystal structure of Mg4FeSi.

Results
Electronic total energy: -2.99 eV per atom
E_form (uncorrected): 0.608 eV per atom
ρ: 2.6 g cm⁻³
Spin magnetization: 0.372 μB/atom
Fermi-level density of states: 1.33 states/eV per atom

Unit cell a=7.719 b=7.719 c=7.719 alpha=90.00 beta=90.00 gamma=90.00
Space group F-43m (No. 216)
Asymmetric unit:
Mg 0.125 0.125 0.125 [16 per cell]
Fe 0.250 0.250 0.750 [4 per cell]
Si 0.000 0.000 0.500 [4 per cell]

Record 4
Density functional theory data (GGA-PBEsol) for an optimized crystal structure of BiMo3Pt.

Results
Electronic total energy: -7.69 eV per atom
ρ: 10.5 g cm⁻³
Spin magnetization: 0.319 μB/atom
Fermi-level density of states: 1.46 states/eV per atom

Unit cell a=4.785 b=4.785 c=4.785 alpha=90.00 beta=90.00 gamma=90.00
Space group Pm-3m (No. 221)
Asymmetric unit:
Bi 0.000 0.000 0.000 [1 per cell]
Mo 0.000 0.500 0.500 [3 per cell]
Pt 0.500 0.500 0.500 [1 per cell]

Record 5
Density functional theory data (GGA-PBEsol) for an optimized crystal structure of Li2CaIr2.

Results
Electronic total energy: -5.04 eV per atom
ρ: 9.5 g cm⁻³
Spin magnetization: 0.000 μB/atom
Fermi-level density of states: 0.90 states/eV per atom

Unit cell a=7.508 b=7.508 c=2.731 alpha=90.00 beta=90.00 gamma=90.00
Space group P4/mbm (No. 127)
Asymmetric unit:
Li 0.170 0.330 0.000 [4 per cell]
Ca 0.000 0.000 0.500 [2 per cell]
Ir 0.120 0.620 0.500 [4 per cell]

Record 6
Density functional theory data (GGA-PBEsol) for an optimized crystal structure of Pr2Se2O.

Results
Electronic total energy: -7.11 eV per atom
E_form (uncorrected): -2.447 eV per atom
ρ: 6.5 g cm⁻³
Spin magnetization: 0.000 μB/atom
Fermi-level density of states: 0.00 states/eV per atom

Unit cell a=8.807 b=7.320 c=7.310 alpha=90.00 beta=99.97 gamma=90.00
Space group P2_1/c (No. 14)
Asymmetric unit:
Pr 0.075 0.148 0.325 [4 per cell]
Pr 0.358 0.553 0.247 [4 per cell]
Se 0.181 0.629 0.568 [4 per cell]
Se 0.422 0.222 0.472 [4 per cell]
O 0.114 0.085 0.650 [4 per cell]

Record 7
Density functional theory data (GGA-PBEsol) for an optimized crystal structure of ThSiAu.

Results
Electronic total energy: -6.76 eV per atom
E_form (uncorrected): -0.836 eV per atom
ρ: 11.7 g cm⁻³
Spin magnetization: 0.000 μB/atom
Fermi-level density of states: 0.90 states/eV per atom

Unit cell a=4.2685 b=4.2685 c=4.0983 alpha=90.00 beta=90.00 gamma=120.00
Space group P-6m2 (No. 187)
Asymmetric unit:
Th 0.0000 0.0000 0.0000 [1 per cell]
Si 0.3333 0.6667 0.5000 [1 per cell]
Au 0.6667 0.3333 0.5000 [1 per cell]

Record 8
Density functional theory data (GGA-PBEsol) for an optimized crystal structure of FeSbTe2.

Results
Electronic total energy: -4.53 eV per atom
E_form (uncorrected): 0.610 eV per atom
ρ: 7.9 g cm⁻³
Spin magnetization: 0.679 μB/atom
Fermi-level density of states: 0.85 states/eV per atom

Unit cell a=7.137 b=7.137 c=7.137 alpha=90.00 beta=90.00 gamma=90.00
Space group F-43m (No. 216)
Asymmetric unit:
Fe 0.000 0.000 0.000 [4 per cell]
Sb 0.250 0.250 0.750 [4 per cell]
Te 0.000 0.000 0.500 [4 per cell]
Te 0.250 0.250 0.250 [4 per cell]

> What is the Fermi-level density of states in the eighth record?

0.85 states/eV per atom